Arrangement 1

Computed, not measured: a PBEsol-optimized structure of SbPCS2 at the SCAN level of DFT.

Values from the calculation:
Total moment in μB per atom: 0.000

Lattice parameters (Å, degrees): 4.1959 4.1959 4.1455 90.00 90.00 90.00
Last column: nearest neighbours and their distance in Å.
Space group P4/mmm (No. 123)
Unique sites:
1 Sb 0.0000 0.0000 0.0000 x1  8 S 2.95, 4 P 2.97
2 P 0.5000 0.5000 0.0000 x1  2 C 2.07
3 C 0.5000 0.5000 0.5000 x1  2 P 2.07, 4 S 2.10
4 S 0.0000 0.5000 0.5000 x2  2 C 2.10


Arrangement 2

Computed, not measured: a PBEsol-optimized structure of SbPCS2 at the SCAN level of DFT.

Values from the calculation:
Total moment in μB per atom: 0.003

Lattice parameters (Å, degrees): 4.8961 4.8961 5.1223 90.00 90.00 90.00
Last column: nearest neighbours and their distance in Å.
Space group P4/mmm (No. 123)
Unique sites:
1 Sb 0.0000 0.0000 0.0000 x1  4 S 2.45, 2 P 2.56
2 P 0.0000 0.0000 0.5000 x1  2 Sb 2.56
3 C 0.5000 0.5000 0.5000 x1  4 P 3.46, 8 S 3.54
4 S 0.0000 0.5000 0.0000 x2  2 Sb 2.45


It comes down to arrangement 1, which is 987 meV/atom more stable than the next structure.


Arrangement 1

Computed, not measured: a PBEsol-optimized structure of PCSeS2 at the SCAN level of DFT.

Values from the calculation:
Total moment in μB per atom: 0.019

Lattice parameters (Å, degrees): 4.6444 4.6444 4.7632 90.00 90.00 90.00
Last column: nearest neighbours and their distance in Å.
Space group P4/mmm (No. 123)
Unique sites:
1 P 0.0000 0.0000 0.0000 x1  2 Se 2.38
2 C 0.5000 0.5000 0.0000 x1  4 P 3.28, 8 S 3.33
3 Se 0.0000 0.0000 0.5000 x1  4 S 2.32, 2 P 2.38
4 S 0.0000 0.5000 0.5000 x2  2 Se 2.32


Arrangement 2

Computed, not measured: a PBEsol-optimized structure of PCSeS2 at the SCAN level of DFT.

Values from the calculation:
Total moment in μB per atom: 0.000

Lattice parameters (Å, degrees): 4.0202 4.0202 4.3170 90.00 90.00 90.00
Last column: nearest neighbours and their distance in Å.
Space group P4/mmm (No. 123)
Unique sites:
1 P 0.0000 0.0000 0.0000 x1  2 C 2.16
2 C 0.0000 0.0000 0.5000 x1  4 S 2.01, 2 P 2.16
3 Se 0.5000 0.5000 0.0000 x1  4 P 2.84, 8 S 2.95
4 S 0.0000 0.5000 0.5000 x2  2 C 2.01


It comes down to arrangement 2, which is 845 meV/atom more stable than the next structure.


Arrangement 1

Computed, not measured: a PBEsol-optimized structure of PbC2 at the SCAN level of DFT.

Values from the calculation:
Total moment in μB per atom: 0.000

Lattice parameters (Å, degrees): 2.7335 2.7335 5.0807 90.00 90.00 90.00
Last column: nearest neighbours and their distance in Å.
Space group P4/mmm (No. 123)
Unique sites:
1 Pb 0.0000 0.0000 0.0000 x1  4 Pb 2.73, 8 C 2.88
2 C 0.0000 0.5000 0.5000 x2  4 C 1.93


Arrangement 2

Computed, not measured: a PBEsol-optimized structure of PbC2 at the SCAN level of DFT.

Values from the calculation:
Total moment in μB per atom: 0.000

Lattice parameters (Å, degrees): 7.8580 3.8328 7.3089 90.00 105.93 90.00
Last column: nearest neighbours and their distance in Å.
Space group C2/m (No. 12)
Unique sites:
1 Pb 0.2406 0.0000 0.2642 x4  5 C 2.47-2.64
2 C 0.0380 0.5000 0.0890 x4  1 C 1.27
3 C 0.0834 0.0000 0.5147 x4  1 C 1.27


Arrangement 3

Computed, not measured: a PBEsol-optimized structure of PbC2 at the SCAN level of DFT.

Values from the calculation:
Total moment in μB per atom: 0.001

Lattice parameters (Å, degrees): 4.3689 4.3689 4.8401 90.00 90.00 120.00
Last column: nearest neighbours and their distance in Å.
Space group P6_3/mmc (No. 194)
Unique sites:
1 Pb 0.3333 0.6667 0.2500 x2  5 C 2.42-2.52
2 C 0.0000 0.0000 0.0000 x2  2 C 2.42
3 C 0.3333 0.6667 0.7500 x2  5 Pb 2.42-2.52


Arrangement 4

Computed, not measured: a PBEsol-optimized structure of PbC2 at the SCAN level of DFT.

Values from the calculation:
Total moment in μB per atom: 0.238

Lattice parameters (Å, degrees): 3.4062 3.4062 4.6189 90.00 90.00 90.00
Last column: nearest neighbours and their distance in Å.
Space group P4/mmm (No. 123)
Unique sites:
1 Pb 0.0000 0.0000 0.0000 x1  6 C 2.31-2.41
2 C 0.0000 0.0000 0.5000 x1  2 Pb 2.31
3 C 0.5000 0.5000 0.0000 x1  4 Pb 2.41


It comes down to arrangement 2, which is 1555 meV/atom more stable than the next structure.